Record 1
{
  "formula": "Pm3Nd2Sn4",
  "functional": "PBE-GGA",
  "state": "optimized geometry",
  "e_tot_ev_per_atom": -5.192,
  "sg": "P2_1/c",
  "magmom_total_mub_per_cell": 0.0,
  "e_form_mev_per_atom": -770,
  "relative_energy_mev_per_atom": 0,
  "lattice_angstrom": [[8.167, -0.151, 0.000], [-2.831, 8.024, 0.000], [0.000, 0.000, 8.512]],
  "species": ["Sn", "Nd", "Pm", "Sn", "Sn", "Sn", "Nd", "Sn", "Nd", "Pm", "Pm", "Pm", "Pm", "Sn", "Sn", "Pm", "Nd", "Sn"],
  "frac_coords": [[0.163, 0.918, 0.464], [0.935, 0.806, 0.819], [0.500, 0.500, 0.000], [0.134, 0.515, 0.866], [0.337, 0.082, 0.964], [0.866, 0.485, 0.134], [0.565, 0.194, 0.319], [0.634, 0.515, 0.634], [0.435, 0.806, 0.681], [0.239, 0.245, 0.670], [0.261, 0.755, 0.170], [0.739, 0.245, 0.830], [0.000, 0.500, 0.500], [0.837, 0.082, 0.536], [0.366, 0.485, 0.366], [0.761, 0.755, 0.330], [0.065, 0.194, 0.181], [0.663, 0.918, 0.036]]
}

***

Record 2
{
  "formula": "Ho2PuSc3",
  "functional": "PBE-GGA",
  "state": "optimized geometry",
  "e_tot_ev_per_atom": -6.997,
  "sg": "Cmmm",
  "magmom_total_mub_per_cell": 12.9,
  "e_form_mev_per_atom": 83,
  "lattice_angstrom": [[-4.693, -0.712, -0.580], [-3.569, 0.876, 8.082], [-3.842, 7.800, 1.794]],
  "species": ["Sc", "Sc", "Ho", "Pu", "Sc", "Pu", "Sc", "Ho", "Sc", "Sc", "Ho", "Ho"],
  "frac_coords": [[0.162, 0.088, 0.588], [0.838, 0.912, 0.412], [0.335, 0.665, 0.665], [0.000, 0.500, 0.500], [0.838, 0.412, 0.912], [0.000, 0.000, 0.000], [0.162, 0.588, 0.088], [0.665, 0.835, 0.835], [0.500, 0.250, 0.750], [0.500, 0.750, 0.250], [0.335, 0.165, 0.165], [0.665, 0.335, 0.335]]
}